# Tl2Hg4As | OQMD | PBE | optimized geometry
# electronic total energy: -1.3728 eV per atom
data_Tl2Hg4As
_chemical_formula_sum 'Tl2 Hg4 As1'
_cell_length_a 6.042
_cell_length_b 6.042
_cell_length_c 5.362
_cell_angle_alpha 90.00
_cell_angle_beta 90.00
_cell_angle_gamma 90.00
_symmetry_space_group_name_H-M 'P 1'
_symmetry_Int_Tables_number 1
loop_
_symmetry_equiv_pos_as_xyz
'x,y,z'
loop_
_atom_site_label
_atom_site_fract_x
_atom_site_fract_y
_atom_site_fract_z
Hg1 0.251 0.251 0.490
Hg2 0.749 0.749 0.490
Hg3 0.251 0.749 0.510
Hg4 0.749 0.251 0.510
Tl1 0.000 0.500 0.000
Tl2 0.500 0.000 0.000
As1 0.000 0.000 0.000

***

# TlHgAs | OQMD | PBE | optimized geometry
# electronic total energy: -2.1141 eV per atom
data_TlHgAs
_chemical_formula_sum 'Tl1 Hg1 As1'
_cell_length_a 4.953
_cell_length_b 4.953
_cell_length_c 4.953
_cell_angle_alpha 60.00
_cell_angle_beta 60.00
_cell_angle_gamma 60.00
_symmetry_space_group_name_H-M 'P 1'
_symmetry_Int_Tables_number 1
loop_
_symmetry_equiv_pos_as_xyz
'x,y,z'
loop_
_atom_site_label
_atom_site_fract_x
_atom_site_fract_y
_atom_site_fract_z
Tl1 0.000 0.000 0.000
As1 0.250 0.250 0.250
Hg1 0.750 0.750 0.750

***

# TlHg4As3 | OQMD | PBE | optimized geometry
# electronic total energy: -2.0494 eV per atom
data_TlHg4As3
_chemical_formula_sum 'Tl1 Hg4 As3'
_cell_length_a 12.408
_cell_length_b 12.408
_cell_length_c 12.408
_cell_angle_alpha 21.05
_cell_angle_beta 21.05
_cell_angle_gamma 21.05
_symmetry_space_group_name_H-M 'P 1'
_symmetry_Int_Tables_number 1
loop_
_symmetry_equiv_pos_as_xyz
'x,y,z'
loop_
_atom_site_label
_atom_site_fract_x
_atom_site_fract_y
_atom_site_fract_z
As1 0.000 0.000 0.000
As2 0.777 0.777 0.777
As3 0.223 0.223 0.223
Tl1 0.500 0.500 0.500
Hg1 0.700 0.700 0.700
Hg2 0.095 0.095 0.095
Hg3 0.905 0.905 0.905
Hg4 0.300 0.300 0.300

***

# TmHgAs | OQMD | PBE | optimized geometry
# electronic total energy: -3.7085 eV per atom
# spin magnetization: 0.0 Bohr magnetons per cell
data_TmHgAs
_chemical_formula_sum 'Tm1 Hg1 As1'
_cell_length_a 4.841
_cell_length_b 4.841
_cell_length_c 4.841
_cell_angle_alpha 60.00
_cell_angle_beta 60.00
_cell_angle_gamma 60.00
_symmetry_space_group_name_H-M 'P 1'
_symmetry_Int_Tables_number 1
loop_
_symmetry_equiv_pos_as_xyz
'x,y,z'
loop_
_atom_site_label
_atom_site_fract_x
_atom_site_fract_y
_atom_site_fract_z
As1 0.250 0.250 0.250
Tm1 0.000 0.000 0.000
Hg1 0.750 0.750 0.750

***

# TmHgAs | OQMD | PBE | optimized geometry
# electronic total energy: -3.4835 eV per atom
# spin magnetization: 0.0 Bohr magnetons per cell
data_TmHgAs
_chemical_formula_sum 'Tm1 Hg1 As1'
_cell_length_a 4.801
_cell_length_b 4.801
_cell_length_c 4.801
_cell_angle_alpha 60.00
_cell_angle_beta 60.00
_cell_angle_gamma 60.00
_symmetry_space_group_name_H-M 'P 1'
_symmetry_Int_Tables_number 1
loop_
_symmetry_equiv_pos_as_xyz
'x,y,z'
loop_
_atom_site_label
_atom_site_fract_x
_atom_site_fract_y
_atom_site_fract_z
Hg1 0.250 0.250 0.250
As1 0.000 0.000 0.000
Tm1 0.750 0.750 0.750

***

# UHgAs | OQMD | PBE | optimized geometry
# electronic total energy: -4.9919 eV per atom
# spin magnetization: 2.9 Bohr magnetons per cell
data_UHgAs
_chemical_formula_sum 'U1 Hg1 As1'
_cell_length_a 4.867
_cell_length_b 4.867
_cell_length_c 4.867
_cell_angle_alpha 60.00
_cell_angle_beta 60.00
_cell_angle_gamma 60.00
_symmetry_space_group_name_H-M 'P 1'
_symmetry_Int_Tables_number 1
loop_
_symmetry_equiv_pos_as_xyz
'x,y,z'
loop_
_atom_site_label
_atom_site_fract_x
_atom_site_fract_y
_atom_site_fract_z
Hg1 0.250 0.250 0.250
As1 0.500 0.500 0.500
U1 0.000 0.000 0.000

***

# UHgAs | OQMD | PBE | optimized geometry
# electronic total energy: -5.3722 eV per atom
# spin magnetization: 3.0 Bohr magnetons per cell
data_UHgAs
_chemical_formula_sum 'U1 Hg1 As1'
_cell_length_a 4.909
_cell_length_b 4.909
_cell_length_c 4.909
_cell_angle_alpha 60.00
_cell_angle_beta 60.00
_cell_angle_gamma 60.00
_symmetry_space_group_name_H-M 'P 1'
_symmetry_Int_Tables_number 1
loop_
_symmetry_equiv_pos_as_xyz
'x,y,z'
loop_
_atom_site_label
_atom_site_fract_x
_atom_site_fract_y
_atom_site_fract_z
U1 0.000 0.000 0.000
As1 0.250 0.250 0.250
Hg1 0.750 0.750 0.750

***

# YHgAs | OQMD | PBE | optimized geometry
# electronic total energy: -4.2225 eV per atom
# spin magnetization: 0.0 Bohr magnetons per cell
data_YHgAs
_chemical_formula_sum 'Y1 Hg1 As1'
_cell_length_a 4.830
_cell_length_b 4.830
_cell_length_c 4.830
_cell_angle_alpha 60.00
_cell_angle_beta 60.00
_cell_angle_gamma 60.00
_symmetry_space_group_name_H-M 'P 1'
_symmetry_Int_Tables_number 1
loop_
_symmetry_equiv_pos_as_xyz
'x,y,z'
loop_
_atom_site_label
_atom_site_fract_x
_atom_site_fract_y
_atom_site_fract_z
Hg1 0.250 0.250 0.250
Y1 0.750 0.750 0.750
As1 0.000 0.000 0.000

***

# YHgAs2 | OQMD | PBE | optimized geometry
# electronic total energy: -4.2631 eV per atom
# spin magnetization: 0.0 Bohr magnetons per cell
data_YHgAs2
_chemical_formula_sum 'Y1 Hg1 As2'
_cell_length_a 5.030
_cell_length_b 5.030
_cell_length_c 5.030
_cell_angle_alpha 60.00
_cell_angle_beta 60.00
_cell_angle_gamma 60.00
_symmetry_space_group_name_H-M 'P 1'
_symmetry_Int_Tables_number 1
loop_
_symmetry_equiv_pos_as_xyz
'x,y,z'
loop_
_atom_site_label
_atom_site_fract_x
_atom_site_fract_y
_atom_site_fract_z
As1 0.750 0.750 0.750
As2 0.000 0.000 0.000
Hg1 0.250 0.250 0.250
Y1 0.500 0.500 0.500

***

# YHgAs | OQMD | PBE | optimized geometry
# electronic total energy: -4.3916 eV per atom
# spin magnetization: 0.0 Bohr magnetons per cell
data_YHgAs
_chemical_formula_sum 'Y1 Hg1 As1'
_cell_length_a 4.901
_cell_length_b 4.901
_cell_length_c 4.901
_cell_angle_alpha 60.00
_cell_angle_beta 60.00
_cell_angle_gamma 60.00
_symmetry_space_group_name_H-M 'P 1'
_symmetry_Int_Tables_number 1
loop_
_symmetry_equiv_pos_as_xyz
'x,y,z'
loop_
_atom_site_label
_atom_site_fract_x
_atom_site_fract_y
_atom_site_fract_z
Y1 0.000 0.000 0.000
As1 0.250 0.250 0.250
Hg1 0.750 0.750 0.750

***

# Y2HgAs | OQMD | PBE | optimized geometry
# electronic total energy: -4.5056 eV per atom
# spin magnetization: 0.3 Bohr magnetons per cell
data_Y2HgAs
_chemical_formula_sum 'Y2 Hg1 As1'
_cell_length_a 5.214
_cell_length_b 5.214
_cell_length_c 5.214
_cell_angle_alpha 60.00
_cell_angle_beta 60.00
_cell_angle_gamma 60.00
_symmetry_space_group_name_H-M 'P 1'
_symmetry_Int_Tables_number 1
loop_
_symmetry_equiv_pos_as_xyz
'x,y,z'
loop_
_atom_site_label
_atom_site_fract_x
_atom_site_fract_y
_atom_site_fract_z
Y1 0.750 0.750 0.750
Y2 0.000 0.000 0.000
As1 0.500 0.500 0.500
Hg1 0.250 0.250 0.250

***

# ZnHg2As | OQMD | PBE | optimized geometry
# electronic total energy: -1.3463 eV per atom
data_ZnHg2As
_chemical_formula_sum 'Zn1 Hg2 As1'
_cell_length_a 4.970
_cell_length_b 4.970
_cell_length_c 4.970
_cell_angle_alpha 60.00
_cell_angle_beta 60.00
_cell_angle_gamma 60.00
_symmetry_space_group_name_H-M 'P 1'
_symmetry_Int_Tables_number 1
loop_
_symmetry_equiv_pos_as_xyz
'x,y,z'
loop_
_atom_site_label
_atom_site_fract_x
_atom_site_fract_y
_atom_site_fract_z
Zn1 0.250 0.250 0.250
As1 0.500 0.500 0.500
Hg1 0.000 0.000 0.000
Hg2 0.750 0.750 0.750

***

# Zn2HgAs | OQMD | PBE | optimized geometry
# electronic total energy: -1.5963 eV per atom
data_Zn2HgAs
_chemical_formula_sum 'Zn2 Hg1 As1'
_cell_length_a 4.787
_cell_length_b 4.787
_cell_length_c 4.787
_cell_angle_alpha 60.00
_cell_angle_beta 60.00
_cell_angle_gamma 60.00
_symmetry_space_group_name_H-M 'P 1'
_symmetry_Int_Tables_number 1
loop_
_symmetry_equiv_pos_as_xyz
'x,y,z'
loop_
_atom_site_label
_atom_site_fract_x
_atom_site_fract_y
_atom_site_fract_z
Zn1 0.750 0.750 0.750
Zn2 0.000 0.000 0.000
Hg1 0.250 0.250 0.250
As1 0.500 0.500 0.500

***

# Zr3HgAs | OQMD | PBE | optimized geometry
# electronic total energy: -6.5854 eV per atom
# spin magnetization: 0.0 Bohr magnetons per cell
data_Zr3HgAs
_chemical_formula_sum 'Zr6 Hg2 As2'
_cell_length_a 6.169
_cell_length_b 6.169
_cell_length_c 10.132
_cell_angle_alpha 90.00
_cell_angle_beta 90.00
_cell_angle_gamma 144.79
_symmetry_space_group_name_H-M 'P 1'
_symmetry_Int_Tables_number 1
loop_
_symmetry_equiv_pos_as_xyz
'x,y,z'
loop_
_atom_site_label
_atom_site_fract_x
_atom_site_fract_y
_atom_site_fract_z
As1 0.000 0.000 0.500
As2 0.000 0.000 0.000
Zr1 0.047 0.953 0.250
Zr2 0.351 0.649 0.058
Zr3 0.351 0.649 0.442
Zr4 0.649 0.351 0.558
Zr5 0.953 0.047 0.750
Zr6 0.649 0.351 0.942
Hg1 0.744 0.256 0.250
Hg2 0.256 0.744 0.750